(1)
The following is a PBE calculation of crystalline Dy2ZnOs at its relaxed geometry, from the Alexandria database.

```
data_Dy2ZnOs
_cell_length_a 3.444
_cell_length_b 3.444
_cell_length_c 7.254
_cell_angle_alpha 90.00
_cell_angle_beta 90.00
_cell_angle_gamma 90.00
_symmetry_space_group_name_H-M 'P 4/m m m'
_symmetry_Int_Tables_number 123
_symmetry_space_group_name_Hall '-P 4 2'
loop_
_atom_site_label
_atom_site_type_symbol
_atom_site_fract_x
_atom_site_fract_y
_atom_site_fract_z
Dy1 Dy 0.000 0.000 0.229
Zn1 Zn 0.500 0.500 0.500
Os1 Os 0.500 0.500 0.000
```

Values from the calculation:
Polymorph energy (0 for the lowest one), meV per atom: 0

***

(2)
The following is a PBE calculation of crystalline Nd2GaTe4 at its relaxed geometry, from the Alexandria database.

```
data_Nd2GaTe4
_cell_length_a 7.212
_cell_length_b 7.440
_cell_length_c 8.688
_cell_angle_alpha 90.00
_cell_angle_beta 106.78
_cell_angle_gamma 90.00
_symmetry_space_group_name_H-M 'P 1 21/m 1'
_symmetry_Int_Tables_number 11
loop_
_symmetry_equiv_pos_as_xyz
'x,y,z'
'-x,-y,-z'
'-x,y+1/2,-z'
'x,-y+1/2,z'
loop_
_atom_site_label
_atom_site_type_symbol
_atom_site_fract_x
_atom_site_fract_y
_atom_site_fract_z
Nd1 Nd 0.197 0.250 0.040
Nd2 Nd 0.267 0.250 0.575
Ga1 Ga 0.284 0.750 0.324
Te1 Te 0.008 0.004 0.265
Te2 Te 0.423 0.750 0.065
Te3 Te 0.440 0.750 0.652
```

Values from the calculation:
Formation energy (no corrections), eV/atom: -0.958

***

(3)
The following is a PBE calculation of crystalline Dy6Ho12Cd at its relaxed geometry, from the Alexandria database.

```
data_Dy6Ho12Cd
_cell_length_a 11.7621
_cell_length_b 11.7621
_cell_length_c 14.8578
_cell_angle_alpha 90.00
_cell_angle_beta 90.00
_cell_angle_gamma 120.00
_symmetry_space_group_name_H-M 'R -3'
_symmetry_Int_Tables_number 148
_symmetry_space_group_name_Hall '-R 3'
loop_
_atom_site_label
_atom_site_type_symbol
_atom_site_fract_x
_atom_site_fract_y
_atom_site_fract_z
Dy1 Dy 0.0196 0.5922 0.1887
Ho1 Ho 0.0058 0.8286 0.3139
Ho2 Ho 0.0465 0.1960 0.9153
Cd1 Cd 0.0000 0.0000 0.5000
```

Values from the calculation:
Polymorph energy (0 for the lowest one), meV per atom: 0

***

(4)
The following is a PBE calculation of crystalline Zr2PdSe at its relaxed geometry, from the Alexandria database.

```
data_Zr2PdSe
_cell_length_a 7.260
_cell_length_b 7.260
_cell_length_c 6.318
_cell_angle_alpha 90.00
_cell_angle_beta 90.00
_cell_angle_gamma 90.00
_symmetry_space_group_name_H-M 'I -4 2 d'
_symmetry_Int_Tables_number 122
_symmetry_space_group_name_Hall 'I -4 2bw'
loop_
_atom_site_label
_atom_site_type_symbol
_atom_site_fract_x
_atom_site_fract_y
_atom_site_fract_z
Zr1 Zr 0.246 0.250 0.125
Pd1 Pd 0.000 0.000 0.500
Se1 Se 0.000 0.000 0.000
```

Values from the calculation:
Formation energy (no corrections), eV/atom: -0.529